The following is a DFT calculation (PBE) of LiNiAgBi after structural relaxation.

Cell: 4.5903 4.5903 4.5903 Å, 60.00 60.00 60.00°
Last column: nearest neighbours and their distance in Å.
Atoms (fractional coordinates):
Ni  0.5000  0.5000  0.5000  4 Ag 2.81, 4 Bi 2.81
Bi  0.7500  0.7500  0.7500  4 Li 2.81, 4 Ni 2.81
Ag  0.2500  0.2500  0.2500  4 Li 2.81, 4 Ni 2.81
Li  0.0000  0.0000  0.0000  4 Bi 2.81, 4 Ag 2.81

Results
Final energy in eV/atom: -3.71
Symmetry: F-43m